# 1
Here is Ba2CaMgRh after structural relaxation from Alexandria. Energies are from PBE.

abc: 6.0794 6.0794 5.5585
angles: 90.00 90.00 90.00
Space group P4/mmm (No. 123)
Unique sites:
Ba 0.0000 0.5000 0.0000 x2
Ca 0.0000 0.0000 0.5000 x1
Mg 0.5000 0.5000 0.5000 x1
Rh 0.0000 0.0000 0.0000 x1

Calculated values
As for the energy relative to the elements: -104.3 meV per atom. The calculation puts the electronic total energy at -15.3 eV per cell. Its total magnetic moment is 0.00 μB/f.u. Its offset from the most stable computed form is 0 meV/atom.

# 2
Here is BaCa2MgRu after structural relaxation from Alexandria. Energies are from PBE.

abc: 5.5303 5.5303 5.4003
angles: 90.00 90.00 90.00
Space group P4/mmm (No. 123)
Unique sites:
Ba 0.0000 0.0000 0.0000 x1
Ca 0.0000 0.5000 0.5000 x2
Mg 0.5000 0.5000 0.0000 x1
Ru 0.5000 0.5000 0.5000 x1

Calculated values
As for the energy relative to the elements: 97.7 meV per atom. The calculation puts the electronic total energy at -16.3 eV per cell. Its total magnetic moment is 0.00 μB/f.u.